First-principles (PBE) data for Fe2TcRu after structural relaxation, as listed in Alexandria via LeMat-Bulk.

Output
* E_tot: -36.2 eV per cell
* ΔH_f (0 K): 0.095 eV per atom
* total moment: 1.315 μB per atom
* theoretical density: 9.92 g/cm3
* energy above the most stable polymorph in this dataset: 0.0 kJ/mol of atoms

abc: 2.864 2.864 6.342
angles: 90.00 90.00 90.00
Space group P4mm (No. 99)
One atom of each set of equivalent atoms:
Fe  0.000  0.000  0.000 x1
Fe  0.500  0.500  0.215 x1
Tc  0.500  0.500  0.748 x1
Ru  0.000  0.000  0.468 x1